[1]
The following is a DFT calculation (GGA-PBE) of an optimized crystal structure of Sc2CoTc.

The structure in POSCAR format:
```
Sc2CoTc
1.0
6.9853 0.0000 0.0000
0.0000 6.9853 0.0000
0.0000 0.0000 5.6144
Sc Co Tc
8 4 4
Direct
0.2230 0.2500 0.1250
0.2500 0.7230 0.3750
0.2500 0.7770 0.8750
0.2770 0.2500 0.6250
0.7230 0.7500 0.6250
0.7500 0.2230 0.8750
0.7500 0.2770 0.3750
0.7770 0.7500 0.1250
0.0000 0.0000 0.0000
0.0000 0.5000 0.2500
0.5000 0.0000 0.7500
0.5000 0.5000 0.5000
0.0000 0.0000 0.5000
0.0000 0.5000 0.7500
0.5000 0.0000 0.2500
0.5000 0.5000 0.0000
```

ΔE_f, eV/atom: 0.2491

[2]
The following is a DFT calculation (GGA-PBE) of an optimized crystal structure of Sc4CoTc.

The structure in POSCAR format:
```
Sc4CoTc
1.0
3.2490 0.0000 0.0000
0.0000 3.2490 0.0000
0.0000 0.0000 11.0197
Sc Co Tc
4 1 1
Direct
0.0000 0.0000 0.1325
0.0000 0.0000 0.8675
0.5000 0.5000 0.3621
0.5000 0.5000 0.6379
0.5000 0.5000 0.0000
0.0000 0.0000 0.5000
```

ΔE_f, eV/atom: -0.2149

[3]
The following is a DFT calculation (GGA-PBE) of an optimized crystal structure of ScCo2Tc.

The structure in POSCAR format:
```
ScCo2Tc
1.0
3.1713 0.0000 0.0000
0.0000 4.1510 0.0000
0.0000 0.0000 4.2640
Sc Co Tc
1 2 1
Direct
0.0000 0.0000 0.0000
0.0000 0.5000 0.5000
0.5000 0.5000 0.0000
0.5000 0.0000 0.5000
```

ΔE_f, eV/atom: 0.0736

[4]
The following is a DFT calculation (GGA-PBE) of an optimized crystal structure of Sc4Co2Tc.

The structure in POSCAR format:
```
Sc4Co2Tc
1.0
2.2765 -3.9448 0.0000
2.2765 3.9448 0.0000
0.0000 0.0000 13.3681
Sc Co Tc
8 4 2
Direct
0.0000 0.0000 0.0000
0.0000 0.0000 0.5000
0.3331 0.6669 0.6295
0.3331 0.6669 0.8705
0.3339 0.6661 0.2500
0.6661 0.3339 0.7500
0.6669 0.3331 0.1295
0.6669 0.3331 0.3705
0.3334 0.6666 0.0586
0.3334 0.6666 0.4414
0.6666 0.3334 0.5586
0.6666 0.3334 0.9414
0.0007 0.9993 0.2500
0.9993 0.0007 0.7500
```

ΔE_f, eV/atom: -0.1824

[5]
The following is a DFT calculation (GGA-PBE) of an optimized crystal structure of Sc4CoTc.

The structure in POSCAR format:
```
Sc4CoTc
1.0
0.0000 3.8539 3.8539
3.8539 0.0000 3.8539
3.8539 3.8539 0.0000
Sc Co Tc
4 1 1
Direct
0.1246 0.1246 0.1246
0.1246 0.1246 0.6262
0.1246 0.6262 0.1246
0.6262 0.1246 0.1246
0.5000 0.5000 0.5000
0.7500 0.7500 0.7500
```

ΔE_f, eV/atom: 0.6977

[6]
The following is a DFT calculation (GGA-PBE) of an optimized crystal structure of ScCo2Tc.

The structure in POSCAR format:
```
ScCo2Tc
1.0
4.2665 0.0000 0.0000
0.0000 4.2665 0.0000
0.0000 0.0000 3.0782
Sc Co Tc
1 2 1
Direct
0.0000 0.0000 0.0000
0.0000 0.5000 0.5000
0.5000 0.0000 0.5000
0.5000 0.5000 0.0000
```

ΔE_f, eV/atom: -0.0789

[7]
The following is a DFT calculation (GGA-PBE) of an optimized crystal structure of Sc2CoTcTe.

The structure in POSCAR format:
```
Sc2CoTcTe
1.0
5.2558 0.0000 0.0000
0.0000 5.2558 0.0000
0.0000 0.0000 4.4900
Sc Co Tc Te
2 1 1 1
Direct
0.0000 0.5000 0.0000
0.5000 0.0000 0.0000
0.0000 0.0000 0.5000
0.5000 0.5000 0.5000
0.0000 0.0000 0.0000
```

E_form (uncorrected), eV/atom: 0.88

[8]
The following is a DFT calculation (GGA-PBE) of an optimized crystal structure of ScTiCoTc.

The structure in POSCAR format:
```
ScTiCoTc
1.0
6.2085 0.0000 0.0000
0.0000 6.2085 0.0000
0.0000 0.0000 6.2085
Sc Ti Co Tc
4 4 4 4
Direct
0.0000 0.0000 0.0000
0.0000 0.5000 0.5000
0.5000 0.0000 0.5000
0.5000 0.5000 0.0000
0.0000 0.0000 0.5000
0.0000 0.5000 0.0000
0.5000 0.0000 0.0000
0.5000 0.5000 0.5000
0.2500 0.2500 0.2500
0.2500 0.7500 0.7500
0.7500 0.2500 0.7500
0.7500 0.7500 0.2500
0.2500 0.2500 0.7500
0.2500 0.7500 0.2500
0.7500 0.2500 0.2500
0.7500 0.7500 0.7500
```

ΔE_f, eV/atom: -0.3474

[9]
The following is a DFT calculation (GGA-PBE) of an optimized crystal structure of TmScCoTc.

The structure in POSCAR format:
```
TmScCoTc
1.0
6.5241 0.0000 0.0000
0.0000 6.5241 0.0000
0.0000 0.0000 6.5241
Tm Sc Co Tc
4 4 4 4
Direct
0.0000 0.0000 0.0000
0.0000 0.5000 0.5000
0.5000 0.0000 0.5000
0.5000 0.5000 0.0000
0.0000 0.0000 0.5000
0.0000 0.5000 0.0000
0.5000 0.0000 0.0000
0.5000 0.5000 0.5000
0.2500 0.2500 0.2500
0.2500 0.7500 0.7500
0.7500 0.2500 0.7500
0.7500 0.7500 0.2500
0.2500 0.2500 0.7500
0.2500 0.7500 0.2500
0.7500 0.2500 0.2500
0.7500 0.7500 0.7500
```

ΔE_f, eV/atom: -0.0992

[10]
The following is a DFT calculation (GGA-PBE) of an optimized crystal structure of ScUCoTc.

The structure in POSCAR format:
```
ScUCoTc
1.0
6.5156 0.0000 0.0000
0.0000 6.5156 0.0000
0.0000 0.0000 6.5156
Sc U Co Tc
4 4 4 4
Direct
0.0000 0.0000 0.0000
0.0000 0.5000 0.5000
0.5000 0.0000 0.5000
0.5000 0.5000 0.0000
0.0000 0.0000 0.5000
0.0000 0.5000 0.0000
0.5000 0.0000 0.0000
0.5000 0.5000 0.5000
0.2500 0.2500 0.2500
0.2500 0.7500 0.7500
0.7500 0.2500 0.7500
0.7500 0.7500 0.2500
0.2500 0.2500 0.7500
0.2500 0.7500 0.2500
0.7500 0.2500 0.2500
0.7500 0.7500 0.7500
```

ΔE_f, eV/atom: -0.1149

[11]
The following is a DFT calculation (GGA-PBE) of an optimized crystal structure of ScZnCoTc.

The structure in POSCAR format:
```
ScZnCoTc
1.0
6.2111 0.0000 0.0000
0.0000 6.2111 0.0000
0.0000 0.0000 6.2111
Sc Zn Co Tc
4 4 4 4
Direct
0.0000 0.0000 0.0000
0.0000 0.5000 0.5000
0.5000 0.0000 0.5000
0.5000 0.5000 0.0000
0.2500 0.2500 0.2500
0.2500 0.7500 0.7500
0.7500 0.2500 0.7500
0.7500 0.7500 0.2500
0.2500 0.2500 0.7500
0.2500 0.7500 0.2500
0.7500 0.2500 0.2500
0.7500 0.7500 0.7500
0.0000 0.0000 0.5000
0.0000 0.5000 0.0000
0.5000 0.0000 0.0000
0.5000 0.5000 0.5000
```

ΔE_f, eV/atom: -0.0579

[12]
The following is a DFT calculation (GGA-PBE) of an optimized crystal structure of ZrSc2CoTc.

The structure in POSCAR format:
```
ZrSc2CoTc
1.0
4.6217 0.0000 0.0000
0.0000 4.6217 0.0000
0.0000 0.0000 4.6723
Zr Sc Co Tc
1 2 1 1
Direct
0.0000 0.0000 0.0000
0.0000 0.5000 0.5000
0.5000 0.0000 0.5000
0.5000 0.5000 0.5000
0.5000 0.5000 0.0000
```

ΔE_f, eV/atom: 0.2656

[13]
The following is a DFT calculation (GGA-PBE) of an optimized crystal structure of ScCoTe4.

The structure in POSCAR format:
```
ScCoTe4
1.0
0.0000 4.3994 4.3994
4.3994 0.0000 4.3994
4.3994 4.3994 0.0000
Sc Co Te
1 1 4
Direct
0.0000 0.0000 0.0000
0.2500 0.2500 0.2500
0.1258 0.6247 0.6247
0.6247 0.1258 0.6247
0.6247 0.6247 0.1258
0.6247 0.6247 0.6247
```

E_form (uncorrected), eV/atom: 0.72

[14]
The following is a DFT calculation (GGA-PBE) of an optimized crystal structure of Sc2CoTe.

The structure in POSCAR format:
```
Sc2CoTe
1.0
3.8090 0.0000 0.0000
0.0000 3.9377 0.0000
-1.9033 0.0000 5.3039
Sc Co Te
2 1 1
Direct
0.0000 0.0000 0.0000
0.3094 0.5000 0.6197
0.7624 0.0000 0.5278
0.5950 0.5000 0.1902
```

E_form (uncorrected), eV/atom: -0.61

no.,Fermi-level density of states (states/eV/cell)
1,21.47
2,5.59
3,4.64
4,6.83
5,8.97
6,1.97
7,5.74
8,19.42
9,22.11
10,36.55
11,8.08
12,3.69
13,4.52
14,2.66